Here is a geometry-optimized K3Cr2PbO8 structure from Alexandria. Energies are from GGA+U.

**Total DFT energy (no corrections)**: -5.923 eV/atom

Unit cell a=6.088 b=6.088 c=7.868 alpha=90.00 beta=90.00 gamma=120.00
Fractional positions:
K 0.000 0.000 0.000
K 0.333 0.667 0.683
K 0.667 0.333 0.317
Cr 0.333 0.667 0.222
Cr 0.667 0.333 0.778
Pb 0.000 0.000 0.500
O 0.181 0.362 0.298
O 0.181 0.819 0.298
O 0.333 0.667 0.012
O 0.362 0.181 0.702
O 0.638 0.819 0.298
O 0.667 0.333 0.988
O 0.819 0.181 0.702
O 0.819 0.638 0.702